No. 1
## TaNiH2O (GGA+U)

Data for TaNiH2O after structural relaxation.

The structure belongs to space group P4/mmm (No. 123); the cell edges are 3.5707, 3.5707 and 3.9394 Å and the angles 90.00°, 90.00° and 90.00°. Symmetry generates all atoms from Ta at (0.0000, 0.0000, 0.0000), Ni at (0.5000, 0.5000, 0.0000), H at (0.0000, 0.5000, 0.5000) and O at (0.0000, 0.0000, 0.5000).

The density comes out at 8.5 g/cm³. As for the calculated total energy: -22.7 eV/cell.

No. 2
## NiTe2HO6 (GGA+U)

Data for NiTe2HO6 after structural relaxation.

The structure belongs to space group C2/c (No. 15); the cell edges are 12.4266, 11.9499 and 5.3575 Å and the angles 90.00°, 112.09° and 90.00°. Symmetry generates all atoms from Ni at (0.0000, 0.0071, 0.2500), Te at (0.2266, 0.4066, 0.9175), H at (0.0000, 0.3153, 0.7500), O at (0.1040, 0.3058, 0.8637), O at (0.1074, 0.0105, 0.6011) and O at (0.1624, 0.4629, 0.5437).

The density comes out at 3.7 g/cm³. As for the calculated total energy: -199.7 eV/cell.

no.,spin magnetization (μB per formula unit)
1,0.00
2,0.98